Below is an optimized crystal structure of YHoZn, with properties calculated at the PBE-GGA level.

Computed properties:
The space group is No. 216. Its polymorph energy (0 for the lowest one) is 235.4 meV/atom. Its magnetization is 0.0 μB/f.u. Its final energy is -12.269 eV per cell.

Lattice parameters (Å, degrees): 4.946 4.946 4.943 90.06 119.98 119.97
Element x y z (fractional)
Y (0.944, 0.972, 0.917)
Ho (0.944, 0.472, 0.417)
Zn (0.444, 0.222, 0.667)